The following is a GGA-PBEsol calculation of crystalline TlSbPb2 at its relaxed geometry, from Alexandria via LeMat-Bulk.

It has space group I4/mmm (No. 139), with a = 4.967 Å, b = 4.967 Å, c = 9.328 Å, α = 90.00°, β = 90.00° and γ = 90.00°. The inequivalent atoms are Tl at (0.000, 0.000, 0.000), Sb at (0.000, 0.000, 0.500) and Pb at (0.000, 0.500, 0.250).

As for the polymorph energy (0 for the lowest one): 0.006 eV/atom. For the volume, the calculation gives 230 Å³/cell. The calculation puts the size of the total moment at 0.00 μB/cell.